No. 1
# SrSi2Hg

SrSi2Hg after structural relaxation (PBE, the Alexandria database).

**Uncorrected energy**: -12.068 eV for the cell shown
**Formation energy without anion corrections**: 190 meV per atom
**N(E_F)**: 1.37 states/eV/cell

a = 5.1225 Å, b = 5.1225 Å, c = 5.1225 Å
α = 60.00°, β = 60.00°, γ = 60.00°
Atoms (fractional coordinates):
Hg 0.5000 0.5000 0.5000
Si 0.0000 0.0000 0.0000
Si 0.2500 0.2500 0.2500
Sr 0.7500 0.7500 0.7500

=====

No. 2
# Sr2SiHg

Sr2SiHg after structural relaxation (PBE, the Alexandria database).

**Uncorrected energy**: -10.586 eV for the cell shown
**Formation energy without anion corrections**: -374 meV per atom
**N(E_F)**: 1.44 states/eV/cell

a = 5.5503 Å, b = 3.8810 Å, c = 5.5496 Å
α = 90.00°, β = 90.00°, γ = 90.00°
Atoms (fractional coordinates):
Hg 0.0000 0.6251 0.3745
Si 0.5000 0.6249 0.8756
Sr 0.0000 0.1252 0.8747
Sr 0.5000 0.1249 0.3752

=====

No. 3
# SrSi2Hg2

SrSi2Hg2 after structural relaxation (PBE, the Alexandria database).

**Uncorrected energy**: -13.286 eV for the cell shown
**Formation energy without anion corrections**: -31 meV per atom
**N(E_F)**: 1.77 states/eV/cell

a = 4.5345 Å, b = 4.5345 Å, c = 6.6351 Å
α = 70.02°, β = 70.02°, γ = 90.00°
Atoms (fractional coordinates):
Sr 0.0000 0.0000 0.0000
Si 0.7500 0.2500 0.5000
Si 0.2500 0.7500 0.5000
Hg 0.3791 0.3791 0.2419
Hg 0.6209 0.6209 0.7581

=====

No. 4
# SrSi2Hg

SrSi2Hg after structural relaxation (PBE, the Alexandria database).

**Uncorrected energy**: -25.304 eV for the cell shown
**Formation energy without anion corrections**: 44 meV per atom
**N(E_F)**: 3.47 states/eV/cell

a = 4.7806 Å, b = 4.7806 Å, c = 10.0330 Å
α = 76.22°, β = 76.22°, γ = 90.00°
Atoms (fractional coordinates):
Sr 0.5000 0.5000 0.0000
Sr 0.2500 0.7500 0.5000
Si 0.8179 0.1250 0.2500
Si 0.9321 0.6250 0.2500
Si 0.3750 0.1821 0.7500
Si 0.8750 0.0679 0.7500
Hg 0.0000 0.0000 0.0000
Hg 0.7500 0.2500 0.5000

=====

No. 5
# SrSi2Hg

SrSi2Hg after structural relaxation (PBE, the Alexandria database).

**Uncorrected energy**: -12.575 eV for the cell shown
**Formation energy without anion corrections**: 64 meV per atom
**N(E_F)**: 1.08 states/eV/cell

a = 3.8080 Å, b = 3.8096 Å, c = 6.5964 Å
α = 90.00°, β = 90.00°, γ = 90.00°
Atoms (fractional coordinates):
Hg 0.5000 0.5000 0.7500
Si 0.0000 0.0000 0.9284
Si 0.0000 0.0000 0.5716
Sr 0.5000 0.5000 0.2500

=====

No. 6
# Sr5Si2Hg2

Sr5Si2Hg2 after structural relaxation (PBE, the Alexandria database).

**Uncorrected energy**: -47.245 eV for the cell shown
**Formation energy without anion corrections**: -418 meV per atom
**N(E_F)**: 17.36 states/eV/cell

a = 8.1922 Å, b = 8.2039 Å, c = 9.7146 Å
α = 90.00°, β = 65.06°, γ = 90.00°
Atoms (fractional coordinates):
Sr 0.0000 0.0000 0.0000
Sr 0.5000 0.5000 0.0000
Sr 0.4519 0.1763 0.7400
Sr 0.8081 0.8237 0.7400
Sr 0.3081 0.6763 0.7400
Sr 0.9519 0.3237 0.7400
Sr 0.5481 0.8237 0.2600
Sr 0.1919 0.1763 0.2600
Sr 0.6919 0.3237 0.2600
Sr 0.0481 0.6763 0.2600
Si 0.1060 0.3945 0.0000
Si 0.8940 0.6055 0.0000
Si 0.3940 0.8945 0.0000
Si 0.6060 0.1055 0.0000
Hg 0.2114 0.0000 0.5773
Hg 0.7114 0.5000 0.5773
Hg 0.7886 0.0000 0.4227
Hg 0.2886 0.5000 0.4227

=====

| no. | total magnetic moment (μB per atom) | density (g cm⁻³) |
| --- | --- | --- |
| 1 | 0.000 | 6.017 |
| 2 | 0.000 | 5.611 |
| 3 | 0.000 | 7.577 |
| 4 | 0.000 | 5.298 |
| 5 | 0.000 | 5.976 |
| 6 | 0.000 | 5.023 |